# 1
VASP calculation (GGA-PBE) on a relaxed structure of Cs2HfTa.

Cell lengths 10.4178, 10.4178, 10.4178 Å; angles 93.44, 93.44, 151.64 degrees
Closest atoms and distances in Å follow each position.
Fractional coordinates of all 8 atoms:
Ta  0.0000  0.0000  0.0000  2 Hf 2.55
Hf  0.5000  0.5000  0.0000  2 Ta 2.55
Hf  0.7500  0.2500  0.5000  2 Ta 2.55
Cs  0.1250  0.9260  0.3010  2 Ta 3.70, 2 Hf 4.12
Cs  0.1760  0.8750  0.8010  2 Ta 3.70, 2 Hf 4.12
Ta  0.2500  0.7500  0.5000  2 Hf 2.55
Cs  0.6250  0.8240  0.6990  2 Ta 3.70, 2 Hf 4.12
Cs  0.0740  0.3750  0.1990  2 Ta 3.70, 2 Hf 4.12

Results
The density of states at the Fermi level comes out at 1.48 states/eV/atom. Its total energy is -4.135 eV/atom. Its calculated volume is 65.1 Å³/atom. The calculation puts the energy relative to the elements at 7.0 eV/f.u.

---

# 2
VASP calculation (GGA-PBE) on a relaxed structure of CsHfTa3.

Cell lengths 5.0044, 5.0044, 5.0044 Å; angles 90.00, 90.00, 90.00 degrees
Closest atoms and distances in Å follow each position.
Fractional coordinates of all 5 atoms:
Cs  0.0000  0.0000  0.0000  6 Ta 2.50
Ta  0.0000  0.5000  0.0000  2 Cs 2.50
Ta  0.0000  0.0000  0.5000  2 Cs 2.50
Ta  0.5000  0.0000  0.0000  2 Cs 2.50
Hf  0.5000  0.5000  0.5000  12 Ta 3.54

Results
The density of states at the Fermi level comes out at 1.38 states/eV/atom. Its total energy is -6.359 eV/atom. Its calculated volume is 25.1 Å³/atom. As for the energy relative to the lowest polymorph listed for this composition: 763 meV per atom. The calculation puts the energy relative to the elements at 14.6 eV/f.u.

---

# 3
VASP calculation (GGA-PBE) on a relaxed structure of Cs2HfTaTe.

Cell lengths 7.2118, 5.2711, 7.2118 Å; angles 90.00, 90.00, 90.00 degrees
Closest atoms and distances in Å follow each position.
Fractional coordinates of all 5 atoms:
Hf  0.5000  0.5000  0.5000  8 Cs 4.47
Cs  0.5000  0.0000  0.0000  2 Te 3.61
Ta  0.0000  0.5000  0.0000  2 Te 2.64
Te  0.0000  0.0000  0.0000  2 Ta 2.64
Cs  0.0000  0.0000  0.5000  2 Te 3.61

Results
The density of states at the Fermi level comes out at 1.92 states/eV/atom. Its total energy is -3.825 eV/atom. Its calculated volume is 54.8 Å³/atom. As for the formation energy from raw total energies: 1506 meV per atom.

---

# 4
VASP calculation (GGA-PBE) on a relaxed structure of Cs3Tb3HfTe8.

Cell lengths 8.8577, 8.8569, 10.4829 Å; angles 115.01, 90.00, 120.00 degrees
Closest atoms and distances in Å follow each position.
Fractional coordinates of all 15 atoms:
Te  0.7449  0.9644  0.6836  1 Hf 2.95, 2 Tb 3.12
Cs  0.5000  0.5000  0.0000  6 Te 3.81-3.82
Cs  0.0000  0.5000  0.0000  6 Te 3.81-3.82
Te  0.2196  0.4391  0.6837  1 Hf 2.95, 2 Tb 3.12
Te  0.7804  0.5609  0.3163  1 Hf 2.95, 2 Tb 3.12
Te  0.2195  0.9644  0.6836  1 Hf 2.95, 2 Tb 3.12
Tb  0.5000  0.5000  0.5000  6 Te 3.10-3.12
Te  0.7805  0.0356  0.3164  1 Hf 2.95, 2 Tb 3.12
Tb  0.0000  0.5000  0.5000  6 Te 3.10-3.12
Te  0.7305  0.4611  0.6913  3 Tb 3.10
Te  0.2695  0.5389  0.3087  3 Tb 3.10
Te  0.2551  0.0356  0.3164  1 Hf 2.95, 2 Tb 3.12
Cs  0.0000  0.0000  0.0000  6 Te 3.81-3.82
Hf  0.0000  0.0000  0.5000  6 Te 2.95
Tb  0.5000  0.0000  0.5000  6 Te 3.10-3.12

Results
Its total energy is -4.712 eV/atom. Its calculated volume is 41.4 Å³/atom. As for the formation energy from raw total energies: -1276 meV per atom.

---

# 5
VASP calculation (GGA-PBE) on a relaxed structure of Cs4Tb3HfTe8.

Cell lengths 8.9488, 10.3293, 8.9499 Å; angles 115.69, 120.00, 90.00 degrees
Closest atoms and distances in Å follow each position.
Fractional coordinates of all 16 atoms:
Te  0.7787  0.3128  0.0340  1 Hf 2.98, 2 Tb 3.13
Cs  0.0000  0.0000  0.0000  6 Te 3.77
Te  0.2213  0.6872  0.4425  1 Hf 2.98, 2 Tb 3.13
Te  0.7787  0.3128  0.5575  1 Hf 2.98, 2 Tb 3.13
Te  0.7447  0.6872  0.9660  1 Hf 2.98, 2 Tb 3.13
Cs  0.5000  0.0000  0.0000  6 Te 3.89
Te  0.2553  0.3128  0.0340  1 Hf 2.98, 2 Tb 3.13
Hf  0.0000  0.5000  0.0000  6 Te 2.98
Tb  0.5000  0.5000  0.5000  6 Te 3.11-3.13
Tb  0.0000  0.5000  0.5000  6 Te 3.11-3.13
Tb  0.5000  0.5000  0.0000  6 Te 3.11-3.13
Cs  0.0000  0.0000  0.5000  6 Te 3.77
Cs  0.5000  0.0000  0.5000  6 Te 3.77
Te  0.7312  0.6934  0.4624  3 Tb 3.11
Te  0.2688  0.3066  0.5376  3 Tb 3.11
Te  0.2213  0.6872  0.9660  1 Hf 2.98, 2 Tb 3.13

Results
The density of states at the Fermi level comes out at 0.32 states/eV/atom. Its total energy is -4.517 eV/atom. Its calculated volume is 38.8 Å³/atom. As for the formation energy from raw total energies: -1243 meV per atom.

---

# 6
VASP calculation (GGA-PBE) on a relaxed structure of Cs2Tb2HfTe6.

Cell lengths 7.5613, 7.5613, 9.5383 Å; angles 98.03, 98.03, 119.80 degrees
Closest atoms and distances in Å follow each position.
Fractional coordinates of all 11 atoms:
Te  0.3813  0.0683  0.6871  1 Hf 2.93, 2 Tb 3.10-3.11
Tb  0.3321  0.6679  0.5000  6 Te 3.10-3.11
Cs  0.1714  0.8286  0.0000  6 Te 3.81-3.86
Te  0.9317  0.6187  0.3129  1 Hf 2.93, 2 Tb 3.10-3.11
Te  0.2519  0.2519  0.3150  1 Hf 2.94, 2 Tb 3.10
Tb  0.6679  0.3321  0.5000  6 Te 3.10-3.11
Cs  0.8286  0.1714  0.0000  6 Te 3.81-3.86
Te  0.6187  0.9317  0.3129  1 Hf 2.93, 2 Tb 3.10-3.11
Te  0.0683  0.3813  0.6871  1 Hf 2.93, 2 Tb 3.10-3.11
Te  0.7481  0.7481  0.6850  1 Hf 2.94, 2 Tb 3.10
Hf  0.0000  0.0000  0.5000  6 Te 2.93-2.94

Results
Its total energy is -4.857 eV/atom. Its calculated volume is 41.3 Å³/atom. As for the formation energy from raw total energies: -1241 meV per atom.

---

# 7
VASP calculation (GGA-PBE) on a relaxed structure of Cs3Tb2HfTe6.

Cell lengths 7.6938, 7.6938, 9.3079 Å; angles 97.93, 97.93, 120.00 degrees
Closest atoms and distances in Å follow each position.
Fractional coordinates of all 12 atoms:
Cs  0.1722  0.8278  0.5000  6 Te 3.76-3.83
Te  0.3797  0.0624  0.1877  1 Hf 2.96, 2 Tb 3.12-3.13
Cs  0.5000  0.5000  0.5000  6 Te 3.75-3.87
Hf  0.0000  0.0000  0.0000  6 Te 2.96-2.97
Te  0.7468  0.7468  0.1901  1 Hf 2.97, 2 Tb 3.13
Tb  0.3340  0.6660  0.0000  6 Te 3.12-3.13
Te  0.9376  0.6203  0.8123  1 Hf 2.96, 2 Tb 3.12-3.13
Te  0.0624  0.3797  0.1877  1 Hf 2.96, 2 Tb 3.12-3.13
Tb  0.6660  0.3340  0.0000  6 Te 3.12-3.13
Te  0.2532  0.2532  0.8099  1 Hf 2.97, 2 Tb 3.13
Te  0.6203  0.9376  0.8123  1 Hf 2.96, 2 Tb 3.12-3.13
Cs  0.8278  0.1722  0.5000  6 Te 3.76-3.83

Results
The density of states at the Fermi level comes out at 0.39 states/eV/atom. Its total energy is -4.581 eV/atom. Its calculated volume is 38.2 Å³/atom. As for the formation energy from raw total energies: -1196 meV per atom.

---

# 8
VASP calculation (GGA-PBE) on a relaxed structure of CsHfTc3.

Cell lengths 5.0702, 5.0702, 5.0702 Å; angles 90.00, 90.00, 90.00 degrees
Closest atoms and distances in Å follow each position.
Fractional coordinates of all 5 atoms:
Tc  0.5000  0.0000  0.0000  2 Hf 2.54
Tc  0.0000  0.5000  0.0000  2 Hf 2.54
Tc  0.0000  0.0000  0.5000  2 Hf 2.54
Hf  0.0000  0.0000  0.0000  6 Tc 2.54
Cs  0.5000  0.5000  0.5000  12 Tc 3.59

Results
The density of states at the Fermi level comes out at 1.51 states/eV/atom. Its total energy is -6.455 eV/atom. Its calculated volume is 26.1 Å³/atom. As for the energy relative to the lowest polymorph listed for this composition: 0 meV per atom. The calculation puts the energy relative to the elements at 9.6 eV/f.u.